The following is a GGA-PBE calculation of ScPaTcAg after structural relaxation, from the Alexandria database.

Cell: 6.8789 6.8789 6.8789 Å, 90.00 90.00 90.00°
With the nearest neighbours (Å) after each atom.
Space group F-43m (No. 216)
Inequivalent atoms, fractional coordinates:
Sc1 0.0000 0.0000 0.0000 x4  4 Tc 2.98, 4 Ag 2.98
Pa1 0.0000 0.0000 0.5000 x4  4 Ag 2.98, 4 Tc 2.98
Tc1 0.2500 0.2500 0.2500 x4  4 Pa 2.98, 4 Sc 2.98
Ag1 0.2500 0.2500 0.7500 x4  4 Pa 2.98, 4 Sc 2.98

Calculated values
Formation energy   -0.04 eV per atom
Raw total energy   -7.2963 eV/atom
Fermi-level density of states   26.162 states/eV/cell



The following is a GGA-PBE calculation of KAlTc2 after structural relaxation, from the Alexandria database.

Cell: 5.6405 9.7033 2.5782 Å, 90.00 90.00 90.00°
With the nearest neighbours (Å) after each atom.
Space group Cmmm (No. 65)
Inequivalent atoms, fractional coordinates:
K1 0.0000 0.0000 0.0000 x2  2 K 2.58, 2 Al 2.82
Al1 0.0000 0.5000 0.0000 x2  2 Al 2.58, 2 K 2.82
Tc1 0.2500 0.2500 0.5000 x4  4 Tc 2.58-2.82

Calculated values
Formation energy   1.09 eV per atom
Raw total energy   -5.3076 eV/atom
Fermi-level density of states   5.419 states/eV/cell